Entry from the Alexandria database: a relaxed Pm2Tm4Sn3O2 crystal (GGA-PBE).

Properties
The theoretical density comes out at 8.428 g/cm3. The calculation puts the magnetic moment at 0.00 μB per atom. As for the formation energy from raw total energies: -1.543 eV per atom. The calculation puts the volume at 533 Å³ per cell.

CIF file:
```
data_Pm2Tm4Sn3O2
_symmetry_space_group_name_H-M 'I 4/m m m'
_symmetry_Int_Tables_number 139
_symmetry_space_group_name_Hall '-I 4 2'
_cell_length_a 4.600
_cell_length_b 4.600
_cell_length_c 25.212
_cell_angle_alpha 90.00
_cell_angle_beta 90.00
_cell_angle_gamma 90.00
loop_
_atom_site_label
_atom_site_type_symbol
_atom_site_fract_x
_atom_site_fract_y
_atom_site_fract_z
Pm1 Pm 0.000 0.000 0.195
Tm1 Tm 0.000 0.500 0.082
Sn1 Sn 0.000 0.000 0.326
Sn2 Sn 0.000 0.000 0.500
O1 O 0.000 0.000 0.091
```